1.
The following is a DFT calculation (PBE) of crystalline H3RuS at its relaxed geometry.

Cell and atoms, written as extended XYZ:
```
5
Lattice="-0.5961 2.7316 2.0117 -2.3807 1.1183 -2.2239 -2.4168 -1.7754 1.6945" Properties=species:S:1:pos:R:3 pbc="T T T"
H -1.2084 -0.8877 0.8472
H -0.2981 1.3658 1.0059
H -1.1904 0.5591 -1.1119
S 0.0000 0.0000 0.0000
Ru -2.6968 1.0373 0.7412
```

Calculated values
* energy relative to the lowest polymorph listed for this composition: 488 meV/atom
* calculated total energy: -3.5146 eV per atom
* mass density: 5.533 g/cm³

=====

2.
The following is a DFT calculation (PBE) of crystalline HfScNb at its relaxed geometry.

Cell and atoms, written as extended XYZ:
```
12
Lattice="4.8851 0.0000 0.0000 0.0000 7.4112 0.0000 0.0000 0.0000 7.4112" Properties=species:S:1:pos:R:3 pbc="T T T"
Sc 0.0000 3.7056 2.2660
Sc 2.4425 2.2660 3.7056
Sc 0.0000 3.7056 5.1452
Sc 2.4425 5.1452 3.7056
Hf 2.4425 0.0000 1.5340
Hf 0.0000 1.5340 0.0000
Hf 0.0000 5.8772 0.0000
Hf 2.4425 0.0000 5.8772
Nb 2.4425 3.7056 6.2722
Nb 2.4425 3.7056 1.1390
Nb 0.0000 1.1390 3.7056
Nb 0.0000 6.2722 3.7056
```

Calculated values
* energy relative to the lowest polymorph listed for this composition: 555 meV/atom
* energy of formation from the pure elements: 13.80 kcal/mol of atoms
* calculated total energy: -8.1863 eV per atom
* mass density: 7.831 g/cm³

=====

3.
The following is a DFT calculation (PBE) of crystalline TaH2F8 at its relaxed geometry.

Cell and atoms, written as extended XYZ:
```
11
Lattice="-0.5551 7.1330 -3.4527 -2.3042 -6.4754 -1.9159 -2.2825 -0.6942 4.7961" Properties=species:S:1:pos:R:3 pbc="T T T"
F -2.8844 -2.7970 1.1604
F -0.9707 -1.6848 0.3137
F -2.2573 2.7603 -1.7328
F -3.2463 -5.6313 -0.4986
F -3.7707 -0.5872 0.6514
F -1.3710 0.5505 -1.2239
F -4.1711 1.6481 -0.8862
F -1.8954 5.5946 -0.0739
H -3.0875 2.2455 -1.3982
H -2.0542 -2.2821 0.8258
Ta -0.5551 7.1330 -3.4527
```

Calculated values
* energy relative to the lowest polymorph listed for this composition: 0 meV/atom
* calculated total energy: -5.3178 eV per atom
* mass density: 3.206 g/cm³